# CoMo3, relaxed, DFT PBE
data_CoMo3
_symmetry_space_group_name_H-M 'P m -3 m'
_symmetry_Int_Tables_number 221
_symmetry_space_group_name_Hall '-P 4 2 3'
_cell_length_a 3.8675
_cell_length_b 3.8675
_cell_length_c 3.8675
_cell_angle_alpha 90.00
_cell_angle_beta 90.00
_cell_angle_gamma 90.00
loop_
_atom_site_label
_atom_site_fract_x
_atom_site_fract_y
_atom_site_fract_z
Co1 0.0000 0.0000 0.0000
Mo1 0.0000 0.5000 0.5000
# - volume (Å³ per atom) = 14.462
# - formation enthalpy at 0 K (eV per atom) = 0.21

=====

# Ba2CuAgH6, relaxed, DFT PBE
data_Ba2CuAgH6
_symmetry_space_group_name_H-M 'F m -3 m'
_symmetry_Int_Tables_number 225
_symmetry_space_group_name_Hall '-F 4 2 3'
_cell_length_a 7.9925
_cell_length_b 7.9925
_cell_length_c 7.9925
_cell_angle_alpha 90.00
_cell_angle_beta 90.00
_cell_angle_gamma 90.00
loop_
_atom_site_label
_atom_site_fract_x
_atom_site_fract_y
_atom_site_fract_z
Ba1 0.2500 0.2500 0.2500
Cu1 0.0000 0.0000 0.0000
Ag1 0.0000 0.0000 0.5000
H1 0.0000 0.0000 0.2316
# - electronic total energy (hartree per atom) = -0.1227
# - volume (Å³ per atom) = 12.764

=====

# TlTcAgTe3, relaxed, DFT PBE
data_TlTcAgTe3
_symmetry_space_group_name_H-M 'C m c m'
_symmetry_Int_Tables_number 63
_symmetry_space_group_name_Hall '-C 2c 2'
_cell_length_a 3.9129
_cell_length_b 15.6778
_cell_length_c 10.7573
_cell_angle_alpha 90.00
_cell_angle_beta 90.00
_cell_angle_gamma 90.00
loop_
_atom_site_label
_atom_site_fract_x
_atom_site_fract_y
_atom_site_fract_z
Tl1 0.0000 0.2335 0.2500
Tc1 0.0000 0.0000 0.0000
Ag1 0.0000 0.4474 0.7500
Te1 0.0000 0.0740 0.7500
Te2 0.0000 0.3750 0.5197
# - energy above the most stable polymorph in this dataset (meV/atom) = 98
# - volume (Å³ per atom) = 27.496

=====

# Tb5Zn4In, relaxed, DFT PBE
data_Tb5Zn4In
_symmetry_space_group_name_H-M 'P 4/m m m'
_symmetry_Int_Tables_number 123
_symmetry_space_group_name_Hall '-P 4 2'
_cell_length_a 3.5840
_cell_length_b 3.5840
_cell_length_c 18.4302
_cell_angle_alpha 90.00
_cell_angle_beta 90.00
_cell_angle_gamma 90.00
loop_
_atom_site_label
_atom_site_fract_x
_atom_site_fract_y
_atom_site_fract_z
Tb1 0.0000 0.0000 0.0000
Tb2 0.0000 0.0000 0.1935
Tb3 0.0000 0.0000 0.3861
Zn1 0.5000 0.5000 0.0978
Zn2 0.5000 0.5000 0.2890
In1 0.5000 0.5000 0.5000
# - electronic total energy (hartree per atom) = -0.1275
# - volume (Å³ per atom) = 23.674

=====

# Tl2MoPb2, relaxed, DFT PBE
data_Tl2MoPb2
_symmetry_space_group_name_H-M 'I 4/m m m'
_symmetry_Int_Tables_number 139
_symmetry_space_group_name_Hall '-I 4 2'
_cell_length_a 5.4522
_cell_length_b 5.4522
_cell_length_c 9.8421
_cell_angle_alpha 90.00
_cell_angle_beta 90.00
_cell_angle_gamma 90.00
loop_
_atom_site_label
_atom_site_fract_x
_atom_site_fract_y
_atom_site_fract_z
Tl1 0.0000 0.0000 0.2167
Mo1 0.0000 0.0000 0.5000
Pb1 0.0000 0.5000 0.0000
# - electronic total energy (hartree per atom) = -0.1520
# - volume (Å³ per atom) = 29.257

=====

# MgAgPO, relaxed, DFT PBE
data_MgAgPO
_symmetry_space_group_name_H-M 'P 4/n m m'
_symmetry_Int_Tables_number 129
_cell_length_a 4.4456
_cell_length_b 4.4456
_cell_length_c 7.7976
_cell_angle_alpha 90.00
_cell_angle_beta 90.00
_cell_angle_gamma 90.00
loop_
_symmetry_equiv_pos_as_xyz
'x,y,z'
'-x,-y,-z'
'-y+1/2,x,z'
'y+1/2,-x,-z'
'-x+1/2,-y+1/2,z'
'x+1/2,y+1/2,-z'
'y,-x+1/2,z'
'-y,x+1/2,-z'
'x+1/2,-y,-z'
'-x+1/2,y,z'
'-y,-x,-z'
'y,x,z'
'-x,y+1/2,-z'
'x,-y+1/2,z'
'y+1/2,x+1/2,-z'
'-y+1/2,-x+1/2,z'
loop_
_atom_site_label
_atom_site_fract_x
_atom_site_fract_y
_atom_site_fract_z
Mg1 0.2500 0.7500 0.0000
Ag1 0.2500 0.2500 0.4669
P1 0.2500 0.2500 0.1546
O1 0.2500 0.7500 0.5000
# - energy above the most stable polymorph in this dataset (meV/atom) = 816
# - volume (Å³ per atom) = 19.264

=====

> What is the formula in the sixth record?

MgAgPO

=====

What did the second record say?
# Ba2CuAgH6, relaxed, DFT PBE
data_Ba2CuAgH6
_symmetry_space_group_name_H-M 'F m -3 m'
_symmetry_Int_Tables_number 225
_symmetry_space_group_name_Hall '-F 4 2 3'
_cell_length_a 7.9925
_cell_length_b 7.9925
_cell_length_c 7.9925
_cell_angle_alpha 90.00
_cell_angle_beta 90.00
_cell_angle_gamma 90.00
loop_
_atom_site_label
_atom_site_fract_x
_atom_site_fract_y
_atom_site_fract_z
Ba1 0.2500 0.2500 0.2500
Cu1 0.0000 0.0000 0.0000
Ag1 0.0000 0.0000 0.5000
H1 0.0000 0.0000 0.2316
# - electronic total energy (hartree per atom) = -0.1227
# - volume (Å³ per atom) = 12.764

=====

Copy entry 4 word for word.
# Tb5Zn4In, relaxed, DFT PBE
data_Tb5Zn4In
_symmetry_space_group_name_H-M 'P 4/m m m'
_symmetry_Int_Tables_number 123
_symmetry_space_group_name_Hall '-P 4 2'
_cell_length_a 3.5840
_cell_length_b 3.5840
_cell_length_c 18.4302
_cell_angle_alpha 90.00
_cell_angle_beta 90.00
_cell_angle_gamma 90.00
loop_
_atom_site_label
_atom_site_fract_x
_atom_site_fract_y
_atom_site_fract_z
Tb1 0.0000 0.0000 0.0000
Tb2 0.0000 0.0000 0.1935
Tb3 0.0000 0.0000 0.3861
Zn1 0.5000 0.5000 0.0978
Zn2 0.5000 0.5000 0.2890
In1 0.5000 0.5000 0.5000
# - electronic total energy (hartree per atom) = -0.1275
# - volume (Å³ per atom) = 23.674

=====

> volume of number 1 (CoMo3)?

14.462 Å³ per atom